The following is a DFT calculation (GGA-PBE) of an optimized crystal structure of EuCdInGa.

Summary:
The calculation puts the theoretical density at 7.580 g/cm³. As for the crystal system: cubic. The energy of formation comes out at -1.24 eV/f.u.

a = 7.327 Å, b = 7.327 Å, c = 7.327 Å
α = 90.00°, β = 90.00°, γ = 90.00°
Space group F-43m (No. 216)
Symmetry-distinct sites (fractional):
Eu: 0.000 0.000 0.000
Cd: 0.250 0.250 0.750
In: 0.000 0.000 0.500
Ga: 0.250 0.250 0.250

***

The following is a DFT calculation (GGA-PBE) of an optimized crystal structure of BeCdRh.

Summary:
The calculation puts the theoretical density at 8.294 g/cm³. As for the crystal system: cubic. The energy of formation comes out at -0.13 eV/f.u.

a = 5.643 Å, b = 5.643 Å, c = 5.643 Å
α = 90.00°, β = 90.00°, γ = 90.00°
Space group F-43m (No. 216)
Symmetry-distinct sites (fractional):
Be: 0.000 0.000 0.000
Cd: 0.250 0.250 0.250
Rh: 0.250 0.250 0.750

***

The following is a DFT calculation (GGA-PBE) of an optimized crystal structure of Ca2LaTbTe4.

Summary:
The calculation puts the theoretical density at 5.757 g/cm³. Its uncorrected formation energy is -1.5205 eV/atom. As for the crystal system: monoclinic.

a = 7.728 Å, b = 4.457 Å, c = 7.872 Å
α = 90.00°, β = 109.07°, γ = 90.00°
Space group P2/m (No. 10)
Symmetry-distinct sites (fractional):
Ca: 0.000 0.000 0.000
Ca: 0.500 0.500 0.000
La: 0.000 0.500 0.500
Tb: 0.500 0.000 0.500
Te: 0.257 0.500 0.250
Te: 0.260 0.000 0.755

***

The following is a DFT calculation (GGA-PBE) of an optimized crystal structure of Sm6SnHg8.

Summary:
The calculation puts the theoretical density at 9.910 g/cm³. As for the crystal system: trigonal. The energy of formation comes out at -5.49 eV/f.u.

a = 8.8331 Å, b = 8.8331 Å, c = 19.5323 Å
α = 90.00°, β = 90.00°, γ = 120.00°
Space group R-3 (No. 148, hexagonal axes)
Symmetry-distinct sites (fractional):
Sm: 0.0190 0.2976 0.1022
Sn: 0.0000 0.0000 0.5000
Hg: 0.0000 0.0000 0.1967
Hg: 0.0173 0.3801 0.9467

***

The following is a DFT calculation (GGA-PBE) of an optimized crystal structure of RbGa2Sb.

Summary:
The calculation puts the theoretical density at 4.262 g/cm³. Its uncorrected formation energy is 0.0155 eV/atom. As for the crystal system: tetragonal.

a = 8.726 Å, b = 8.726 Å, c = 7.096 Å
α = 90.00°, β = 90.00°, γ = 90.00°
Space group I-42d (No. 122)
Symmetry-distinct sites (fractional):
Rb: 0.000 0.000 0.000
Ga: 0.185 0.750 0.625
Sb: 0.000 0.000 0.500

***

The following is a DFT calculation (GGA-PBE) of an optimized crystal structure of ZrSi2AsOs.

Summary:
The calculation puts the theoretical density at 6.341 g/cm³. Its uncorrected formation energy is 0.1334 eV/atom. As for the crystal system: tetragonal.

a = 4.488 Å, b = 4.488 Å, c = 5.363 Å
α = 90.00°, β = 90.00°, γ = 90.00°
Space group P4/mmm (No. 123)
Symmetry-distinct sites (fractional):
Zr: 0.000 0.000 0.000
Si: 0.000 0.500 0.500
As: 0.500 0.500 0.000
Os: 0.000 0.000 0.500